A plane-wave DFT calculation with PBE-GGA was carried out for crystalline Sr5Ca7 at its relaxed geometry.

* formation energy from the elements: 0.0198 eV/atom
* energy above the lowest structure with this stoichiometry: 0 meV/atom
* total energy: -1.8486 eV/atom

a b c (Å): 4.077 11.309 12.235
angles (deg): 90.00 90.00 90.00
Sites, in units of the cell vectors:
Ca 0.500 0.264 0.000
Ca 0.000 0.985 0.500
Ca 0.500 0.737 0.000
Ca 0.000 0.506 0.837
Ca 0.000 0.506 0.163
Ca 0.500 0.750 0.330
Ca 0.500 0.750 0.670
Sr 0.000 0.994 0.837
Sr 0.500 0.250 0.332
Sr 0.000 0.994 0.163
Sr 0.000 0.514 0.500
Sr 0.500 0.250 0.668